# Al2HgPt PBE relaxed
# * VASP energy: -3.69 eV/atom
# * SG: Cmm2, No. 35
data_Al2HgPt
_cell_length_a 2.948
_cell_length_b 2.948
_cell_length_c 8.145
_cell_angle_alpha 90.00
_cell_angle_beta 90.00
_cell_angle_gamma 90.10
_symmetry_space_group_name_H-M 'P 1'
_symmetry_Int_Tables_number 1
_symmetry_space_group_name_Hall 'P 1'
loop_
_atom_site_label
_atom_site_fract_x
_atom_site_fract_y
_atom_site_fract_z
_atom_site_occupancy
Al1 0.000 0.000 0.000 1
Al2 0.500 0.500 0.244 1
Hg1 0.500 0.500 0.716 1
Pt1 0.000 0.000 0.428 1